Entry 1:
HfNbGe: relaxed, GGA-PBE.

Structure (extended XYZ):
```
3
Lattice="3.4966 0.0000 0.0000 0.0000 3.4966 0.0000 -1.7483 -1.7483 4.5241" Properties=species:S:1:pos:R:3 pbc="T T T"
Hf 1.7483 1.7483 1.0844
Ge 0.0000 0.0000 2.6325
Nb 1.7483 1.7483 3.9741
```

Output
Calculated volume = 55 Å³/cell
Magnetic moment = 0.0 Bohr magnetons per cell
E = -8.571 eV/atom

Entry 2:
Nd3Ho8Th: relaxed, GGA-PBE.

Structure (extended XYZ):
```
12
Lattice="8.3248 -1.3388 -2.1793 -6.0104 6.1559 -1.3383 1.2933 1.3388 8.5076" Properties=species:S:1:pos:R:3 pbc="T T T"
Ho 2.9857 1.1941 0.7128
Ho 0.6231 4.9600 4.2755
Nd 0.0230 4.2105 -0.0350
Ho 5.5039 0.5240 -1.4855
Th 0.0002 0.0000 0.0001
Ho -4.1741 4.9617 1.1215
Ho 0.4781 1.8600 2.8670
Ho 3.1284 4.2931 2.1248
Nd 3.5847 1.9454 5.0250
Ho -1.8950 5.6347 6.4737
Ho 7.7808 1.1958 3.8701
Nd 5.9661 2.4085 1.4053
```

Output
Calculated volume = 420 Å³/cell
Magnetic moment = 0.0 Bohr magnetons per cell
E = -4.557 eV/atom

Entry 3:
PaCdO4: relaxed, GGA-PBE.

Structure (extended XYZ):
```
6
Lattice="-2.5777 -0.7895 -2.4434 -1.0361 -4.2306 2.4602 -3.3602 2.4478 2.7527" Properties=species:S:1:pos:R:3 pbc="T T T"
Pa -3.4870 -1.2862 1.3847
O -1.7698 -2.1331 2.5558
O -5.2042 -0.4392 0.2135
Cd 0.0000 0.0000 0.0000
O -4.7604 -1.7927 2.8914
O -2.2136 -0.7796 -0.1220
```

Output
Formation energy without anion corrections = -2.28 eV/atom
Calculated volume = 91 Å³/cell
Magnetic moment = 1.0 Bohr magnetons per cell